Record 1
Entry from Alexandria: a relaxed Si2SbPOs crystal (PBE-GGA).

Output
The calculation puts the mass density at 7038 kg/m³. As for the size of the total moment: 0.000 μB/atom. The value obtained for the total energy is -5.02 eV/atom. Its energy relative to the elements, uncorrected is 1.31 eV per atom. Its distance to the lowest polymorph of the same formula is 351 kJ/mol of formula units. The crystal system is tetragonal.

Unit cell a=4.3176 b=4.3176 c=5.0519 alpha=90.00 beta=90.00 gamma=90.00
Fractional positions:
Si 0.0000 0.5000 0.0000
Si 0.5000 0.0000 0.0000
Sb 0.0000 0.0000 0.5000
P 0.0000 0.0000 0.0000
Os 0.5000 0.5000 0.5000


Record 2
Entry from Alexandria: a relaxed Er8Zn2Ni crystal (PBE-GGA).

Output
The calculation puts the mass density at 9086 kg/m³. As for the size of the total moment: 0.000 μB/atom. The value obtained for the total energy is -4.24 eV/atom. The crystal system is monoclinic.

Unit cell a=8.9824 b=8.9824 c=6.6450 alpha=105.01 beta=105.01 gamma=32.74
Fractional positions:
Er 0.0265 0.0265 0.2830
Er 0.2023 0.2023 0.8145
Er 0.3432 0.3432 0.5347
Er 0.4100 0.4100 0.0612
Er 0.5900 0.5900 0.9388
Er 0.6568 0.6568 0.4653
Er 0.7977 0.7977 0.1855
Er 0.9735 0.9735 0.7170
Zn 0.1884 0.1884 0.2285
Zn 0.8116 0.8116 0.7715
Ni 0.5000 0.5000 0.5000


Record 3
Entry from Alexandria: a relaxed Hf4CuNi3 crystal (PBE-GGA).

Output
The calculation puts the mass density at 11980 kg/m³. As for the size of the total moment: 0.000 μB/atom. The value obtained for the total energy is -8.07 eV/atom. The crystal system is orthorhombic.

Unit cell a=3.2447 b=4.1214 c=9.8838 alpha=90.00 beta=90.00 gamma=90.00
Fractional positions:
Hf 0.0000 0.0000 0.0000
Hf 0.0000 0.5000 0.2749
Hf 0.5000 0.0000 0.4902
Hf 0.5000 0.5000 0.7803
Cu 0.0000 0.0000 0.7150
Ni 0.0000 0.5000 0.5545
Ni 0.5000 0.0000 0.2198
Ni 0.5000 0.5000 0.0538


- What is the formula in the third record?
  Hf4CuNi3


- Among the records above, which one has the highest mass density?
  Hf4CuNi3


- Among the records above, which one has the lowest mass density?
  Si2SbPOs